Computed, not measured: ZnBBr3 after structural relaxation at the PBE level of DFT.

**Polymorph energy (0 for the lowest one)**: 107 meV/atom
**Raw total energy**: -10.19 eV/f.u.
**Raw formation energy**: 2.78 eV per formula unit
**Symmetry**: No. 221

a b c (Å): 5.1515 5.1515 5.1515
angles (deg): 90.00 90.00 90.00
Closest atoms and distances in Å follow each position.
Atoms (fractional coordinates):
Zn: 0.0000 0.0000 0.0000  6 Br 2.58
B: 0.5000 0.5000 0.5000  12 Br 3.64
Br: 0.0000 0.5000 0.0000  2 Zn 2.58
Br: 0.0000 0.0000 0.5000  2 Zn 2.58
Br: 0.5000 0.0000 0.0000  2 Zn 2.58


Computed, not measured: VCrW4 after structural relaxation at the PBE level of DFT.

**Polymorph energy (0 for the lowest one)**: 904 meV/atom
**Formation energy from the elements**: 0.88 eV per atom
**Raw total energy**: -65.30 eV/f.u.
**Symmetry**: No. 12

a b c (Å): 4.3348 4.1962 6.9774
angles (deg): 75.38 71.90 58.90
Closest atoms and distances in Å follow each position.
Atoms (fractional coordinates):
V: 0.5000 0.5000 0.5000  8 W 2.54-2.60
Cr: 0.0000 0.0000 0.0000  8 W 2.50-2.58
W: 0.6208 0.6461 0.1124  3 Cr 2.52-2.58, 1 V 2.57, 1 W 2.80
W: 0.3792 0.3539 0.8876  3 Cr 2.52-2.58, 1 V 2.57, 1 W 2.80
W: 0.1158 0.1455 0.6229  1 Cr 2.50, 3 V 2.54-2.60
W: 0.8842 0.8545 0.3771  1 Cr 2.50, 3 V 2.54-2.60


Computed, not measured: Ce2PuAu after structural relaxation at the PBE level of DFT.

**Polymorph energy (0 for the lowest one)**: 372 meV/atom
**Formation energy from the elements**: 0.10 eV per atom
**Raw total energy**: -29.08 eV/f.u.
**Symmetry**: No. 160

a b c (Å): 3.6764 3.6764 7.9615
angles (deg): 76.65 76.65 60.00
Closest atoms and distances in Å follow each position.
Atoms (fractional coordinates):
Ce: 0.0992 0.0992 0.7023  3 Pu 2.65
Ce: 0.2333 0.2333 0.3002  3 Pu 2.60
Pu: 0.5015 0.5015 0.4954  6 Ce 2.60-2.65
Au: 0.6660 0.6660 0.0021  6 Ce 3.12-3.13


Number 1: size of the total moment 0.0 μB per formula unit. Number 2: size of the total moment 0.0 μB per formula unit. Number 3: size of the total moment 0.0 μB per formula unit.